Below is an optimized crystal structure of NiOsSeI2, with properties calculated at the GGA-PBE level.

a = 6.0228 Å, b = 4.5547 Å, c = 6.0228 Å
α = 90.00°, β = 90.00°, γ = 90.00°
Last column: magnetic moment on the atom in μB.
Positions (direct):
I 0.0000 0.0000 0.5000  0.06
I 0.5000 0.0000 0.0000  0.08
Ni 0.5000 0.5000 0.5000  0.91
Os 0.0000 0.5000 0.0000  1.57
Se 0.0000 0.0000 0.0000  -0.06

Calculated values
Density of states at the Fermi level in states/eV/cell: 11.40
Crystal system: tetragonal
Calculated total energy in eV/cell: -15.54